DFT (GGA+U) results for a geometry-optimized Cs2MoCl4F2 structure.

Cell: 12.065 7.412 6.039 Å, 90.00 101.62 90.00°
Space group C2/m (No. 12)
Inequivalent atoms, fractional coordinates:
Cs  0.171  0.000  0.322 x4
Mo  0.000  0.500  0.000 x2
Cl  0.090  0.265  0.813 x8
F  0.133  0.500  0.253 x4

The value obtained for the total energy is -4.124 eV per atom.